Run A
{"formula": "Er2UO6", "functional": "PBE", "state": "optimized geometry", "lattice": [[5.062, 0.000, 0.000], [0.000, 5.062, 0.000], [0.000, 0.000, 10.361]], "species": ["Er", "Er", "Er", "Er", "U", "U", "O", "O", "O", "O", "O", "O", "O", "O", "O", "O", "O", "O"], "frac_coords": [[0.000, 0.000, 0.166], [0.000, 0.000, 0.834], [0.500, 0.500, 0.334], [0.500, 0.500, 0.666], [0.000, 0.000, 0.500], [0.500, 0.500, 0.000], [0.186, 0.186, 0.343], [0.186, 0.186, 0.657], [0.206, 0.206, 0.000], [0.294, 0.706, 0.500], [0.314, 0.686, 0.157], [0.314, 0.686, 0.843], [0.686, 0.314, 0.157], [0.686, 0.314, 0.843], [0.706, 0.294, 0.500], [0.794, 0.794, 0.000], [0.814, 0.814, 0.343], [0.814, 0.814, 0.657]], "vol_a3_per_atom": 14.75, "total_magnetization_mub_per_cell": 0.00, "sg": "No. 136"}

***

Run B
{"formula": "Er2UO6", "functional": "PBE", "state": "optimized geometry", "lattice": [[-1.910, 2.657, 5.520], [1.910, -2.657, 5.520], [1.910, 2.657, -5.520]], "species": ["Er", "Er", "U", "O", "O", "O", "O", "O", "O"], "frac_coords": [[0.167, 0.167, 0.000], [0.833, 0.833, 0.000], [0.500, 0.500, 0.000], [0.100, 0.342, 0.757], [0.265, 0.000, 0.265], [0.415, 0.658, 0.757], [0.585, 0.342, 0.243], [0.735, 0.000, 0.735], [0.900, 0.658, 0.243]], "vol_a3_per_atom": 12.45, "total_magnetization_mub_per_cell": 0.00, "sg": "No. 71"}

***

Ranked by calculated energy, most stable first: run B, run A.

***

Run A
{"formula": "YEr2O", "functional": "PBE", "state": "optimized geometry", "lattice": [[1.749, 1.010, 8.610], [-1.749, 1.010, 8.610], [0.000, -2.020, 8.610]], "species": ["Y", "Er", "Er", "O"], "frac_coords": [[0.000, 0.000, 0.000], [0.219, 0.219, 0.219], [0.781, 0.781, 0.781], [0.500, 0.500, 0.500]], "vol_a3_per_atom": 22.81, "total_magnetization_mub_per_cell": 0.09, "sg": "No. 166"}

***

Run B
{"formula": "YEr2O", "functional": "PBE", "state": "optimized geometry", "lattice": [[3.181, 0.000, 0.000], [0.000, 3.181, 0.000], [0.000, 0.000, 8.616]], "species": ["Y", "Er", "Er", "O"], "frac_coords": [[0.000, 0.000, 0.000], [0.500, 0.500, 0.323], [0.500, 0.500, 0.677], [0.000, 0.000, 0.500]], "vol_a3_per_atom": 21.79, "total_magnetization_mub_per_cell": 0.00, "sg": "No. 123"}

***

Ranked by calculated energy, most stable first: run A, run B.

***

Run A
{"formula": "Er2ZrO", "functional": "PBE", "state": "optimized geometry", "lattice": [[3.127, 0.000, 0.000], [0.000, 3.127, 0.000], [0.000, 0.000, 8.121]], "species": ["Er", "Er", "Zr", "O"], "frac_coords": [[0.000, 0.000, 0.189], [0.000, 0.000, 0.811], [0.500, 0.500, 0.500], [0.500, 0.500, 0.000]], "vol_a3_per_atom": 19.86, "total_magnetization_mub_per_cell": 0.00, "sg": "No. 123"}

***

Run B
{"formula": "Er2ZrO", "functional": "PBE", "state": "optimized geometry", "lattice": [[1.654, 0.955, 9.004], [-1.654, 0.955, 9.004], [0.000, -1.910, 9.004]], "species": ["Er", "Er", "Zr", "O"], "frac_coords": [[0.116, 0.116, 0.116], [0.884, 0.884, 0.884], [0.000, 0.000, 0.000], [0.500, 0.500, 0.500]], "vol_a3_per_atom": 21.33, "total_magnetization_mub_per_cell": 0.03, "sg": "No. 166"}

***

Ranked by calculated energy, most stable first: run B, run A.

***

Run A
{"formula": "ErPaOs", "functional": "PBE", "state": "optimized geometry", "lattice": [[4.786, 0.000, 0.000], [-2.393, 4.144, 0.000], [0.000, 0.000, 3.186]], "species": ["Er", "Pa", "Os"], "frac_coords": [[0.000, 0.000, 0.000], [0.667, 0.333, 0.636], [0.333, 0.667, 0.359]], "vol_a3_per_atom": 21.07, "total_magnetization_mub_per_cell": 0.00, "sg": "No. 156"}

***

Run B
{"formula": "ErPaOs", "functional": "PBE", "state": "optimized geometry", "lattice": [[0.000, 3.364, 3.364], [3.364, 0.000, 3.364], [3.364, 3.364, 0.000]], "species": ["Er", "Pa", "Os"], "frac_coords": [[0.000, 0.000, 0.000], [0.500, 0.500, 0.500], [0.250, 0.250, 0.250]], "vol_a3_per_atom": 25.37, "total_magnetization_mub_per_cell": 0.00, "sg": "No. 216"}

***

Ranked by calculated energy, most stable first: run B, run A.

***

Run A
{"formula": "Er2OsPd", "functional": "PBE", "state": "optimized geometry", "lattice": [[3.414, 0.000, 0.000], [0.000, 3.414, 0.000], [0.000, 0.000, 6.893]], "species": ["Er", "Er", "Os", "Pd"], "frac_coords": [[0.000, 0.000, 0.239], [0.000, 0.000, 0.761], [0.500, 0.500, 0.000], [0.500, 0.500, 0.500]], "vol_a3_per_atom": 20.09, "total_magnetization_mub_per_cell": 0.00, "sg": "No. 123"}

***

Run B
{"formula": "Er2OsPd", "functional": "PBE", "state": "optimized geometry", "lattice": [[1.646, 0.951, 9.381], [-1.646, 0.951, 9.381], [0.000, -1.901, 9.381]], "species": ["Er", "Er", "Os", "Pd"], "frac_coords": [[0.094, 0.094, 0.094], [0.906, 0.906, 0.906], [0.500, 0.500, 0.500], [0.000, 0.000, 0.000]], "vol_a3_per_atom": 22.02, "total_magnetization_mub_per_cell": 0.00, "sg": "No. 166"}

***

Ranked by calculated energy, most stable first: run A, run B.

***

Run A
{"formula": "Er4OsPd", "functional": "PBE", "state": "optimized geometry", "lattice": [[4.076, -6.119, 0.000], [4.076, 6.119, 0.000], [-1.531, 0.000, 6.020]], "species": ["Er", "Er", "Er", "Er", "Er", "Er", "Er", "Er", "Os", "Os", "Pd", "Pd"], "frac_coords": [[0.075, 0.723, 0.964], [0.227, 0.372, 0.571], [0.277, 0.925, 0.536], [0.372, 0.227, 0.071], [0.628, 0.773, 0.929], [0.723, 0.075, 0.464], [0.773, 0.628, 0.429], [0.925, 0.277, 0.036], [0.000, 0.000, 0.250], [0.000, 0.000, 0.750], [0.372, 0.628, 0.250], [0.628, 0.372, 0.750]], "vol_a3_per_atom": 25.03, "total_magnetization_mub_per_cell": 0.00, "sg": "No. 15"}

***

Run B
{"formula": "Er4OsPd", "functional": "PBE", "state": "optimized geometry", "lattice": [[4.785, 0.000, 0.000], [0.000, 4.785, 0.000], [0.000, 0.000, 6.813]], "species": ["Er", "Er", "Er", "Er", "Os", "Pd"], "frac_coords": [[0.000, 0.500, 0.241], [0.000, 0.500, 0.759], [0.500, 0.000, 0.241], [0.500, 0.000, 0.759], [0.000, 0.000, 0.000], [0.500, 0.500, 0.500]], "vol_a3_per_atom": 26.00, "total_magnetization_mub_per_cell": 0.00, "sg": "No. 123"}

***

Ranked by calculated energy, most stable first: run A, run B.